# Cs2MnF4

Cs2MnF4 after structural relaxation (PBE+U, Alexandria via LeMat-Bulk).

The structure in POSCAR format:
```
Cs2MnF4
1.0
-2.202 2.202 7.450
2.202 -2.202 7.450
2.202 2.202 -7.450
Cs Mn F
2 1 4
Direct
0.148 0.148 0.000 Cs
0.852 0.852 0.000 Cs
0.500 0.500 0.000 Mn
0.000 0.500 0.500 F
0.357 0.357 0.000 F
0.500 0.000 0.500 F
0.643 0.643 0.000 F
```

Values from the calculation:
As for the space group: I4/mmm (139). As for the density of states at the Fermi level: 0.000 states/eV/atom. Its total energy is -5.12 eV/atom.